VASP calculation (PBE-GGA) on Ca8Tl2Pb after structural relaxation.

abc: 18.8907 5.4512 7.7661
angles: 90.00 111.38 90.00
Last column: nearest neighbours and their distance in Å.
Space group C2/m (No. 12)
Unique sites:
Ca (0.0258, 0.0000, 0.2753) (multiplicity 4)  1 Tl 3.23, 2 Pb 3.37, 2 Ca 3.61
Ca (0.0983, 0.5000, 0.9528) (multiplicity 4)  1 Pb 3.32, 2 Tl 3.33, 4 Ca 3.59-3.66
Ca (0.1684, 0.5000, 0.4495) (multiplicity 4)  3 Tl 3.19-3.45, 1 Pb 3.34
Ca (0.1963, 0.0000, 0.7918) (multiplicity 4)  3 Tl 3.20-3.55
Tl (0.1806, 0.0000, 0.1884) (multiplicity 4)  9 Ca 3.19-3.55
Pb (0.0000, 0.5000, 0.5000) (multiplicity 2)  8 Ca 3.32-3.37

## Properties
total moment	0.00	μB/atom
density of states at the Fermi level	12.43	states/eV per cell
energy above the lowest structure with this stoichiometry	0.000	eV per atom
energy of formation	-339	meV/atom